Material: LiSiSe2
Method: DFT, PBE
State: relaxed

a b c (Å): 3.340 4.106 5.620
angles (deg): 90.00 90.00 90.00
Positions (direct):
Li: 0.000 0.000 0.000
Si: 0.000 0.500 0.500
Se: 0.500 0.000 0.500
Se: 0.500 0.500 0.000

## Properties
Symmetry: Pmmm (47)
Magnetization: 0.0 μB/cell
DFT total energy: -3.70 eV per atom
Raw formation energy: -0.1226 eV/atom

---

Material: YAs2RuBr
Method: DFT, PBE
State: relaxed

a b c (Å): 4.775 4.775 5.155
angles (deg): 90.00 90.00 90.00
Positions (direct):
Y: 0.000 0.000 0.000
As: 0.000 0.500 0.500
As: 0.500 0.000 0.500
Ru: 0.500 0.500 0.500
Br: 0.500 0.500 0.000

## Properties
Symmetry: P4/mmm (123)
Magnetization: 0.0 μB/cell
DFT total energy: -5.42 eV per atom
Polymorph energy (0 for the lowest one): 0.000 eV per atom
Raw formation energy: -0.0821 eV/atom

---

Material: AgMo2Cl
Method: DFT, PBE
State: relaxed

a b c (Å): 5.478 9.495 2.758
angles (deg): 90.00 109.52 90.00
Positions (direct):
Ag: 0.000 0.000 0.000
Ag: 0.500 0.500 0.000
Mo: 0.250 0.250 0.500
Mo: 0.250 0.750 0.500
Mo: 0.750 0.250 0.500
Mo: 0.750 0.750 0.500
Cl: 0.000 0.500 0.000
Cl: 0.500 0.000 0.000

## Properties
Symmetry: C2/m (12)
Magnetization: 0.0 μB/cell
DFT total energy: -5.73 eV per atom
Polymorph energy (0 for the lowest one): 0.672 eV per atom
Raw formation energy: 0.8640 eV/atom

---

Material: CuOsCl2
Method: DFT, PBE
State: relaxed

a b c (Å): 3.455 3.455 12.113
angles (deg): 90.00 90.00 90.00
Positions (direct):
Cu: 0.000 0.000 0.000
Cu: 0.500 0.500 0.500
Os: 0.000 0.500 0.750
Os: 0.500 0.000 0.250
Cl: 0.000 0.000 0.500
Cl: 0.000 0.500 0.250
Cl: 0.500 0.000 0.750
Cl: 0.500 0.500 0.000

## Properties
Symmetry: I-4m2 (119)
Magnetization: 4.0 μB/cell
DFT total energy: -3.77 eV per atom
Polymorph energy (0 for the lowest one): 0.767 eV per atom
Raw formation energy: 0.9890 eV/atom

---

Material: TeP3
Method: DFT, PBE
State: relaxed

a b c (Å): 2.762 3.660 7.704
angles (deg): 90.00 90.00 90.00
Positions (direct):
Te: 0.000 0.000 0.000
P: 0.000 0.000 0.500
P: 0.000 0.500 0.290
P: 0.000 0.500 0.710

## Properties
Symmetry: Pmmm (47)
Magnetization: 0.0 μB/cell
DFT total energy: -4.46 eV per atom
Polymorph energy (0 for the lowest one): 0.184 eV per atom
Raw formation energy: 0.3829 eV/atom

---

Material: Li5OsO6
Method: DFT, PBE
State: relaxed

a b c (Å): 5.098 5.098 5.067
angles (deg): 99.90 99.90 119.90
Positions (direct):
Li: 0.000 0.000 0.000
Li: 0.168 0.832 0.500
Li: 0.321 0.679 0.000
Li: 0.679 0.321 0.000
Li: 0.832 0.168 0.500
Os: 0.500 0.500 0.500
O: 0.114 0.422 0.264
O: 0.272 0.272 0.728
O: 0.422 0.114 0.264
O: 0.578 0.886 0.736
O: 0.728 0.728 0.272
O: 0.886 0.578 0.736

## Properties
Symmetry: C2/m (12)
Magnetization: 1.0 μB/cell
DFT total energy: -5.91 eV per atom
Raw formation energy: -1.6957 eV/atom

---

Material: BP3RhC
Method: DFT, PBE
State: relaxed

a b c (Å): 11.252 3.089 4.831
angles (deg): 90.00 111.47 90.00
Positions (direct):
B: 0.000 0.000 0.000
B: 0.500 0.500 0.000
P: 0.049 0.500 0.248
P: 0.222 0.500 0.720
P: 0.384 0.000 0.448
P: 0.549 0.000 0.248
P: 0.722 0.000 0.720
P: 0.884 0.500 0.448
Rh: 0.199 0.000 0.032
Rh: 0.699 0.500 0.032
C: 0.388 0.500 0.684
C: 0.888 0.000 0.684

## Properties
Symmetry: Cm (8)
Magnetization: 0.0 μB/cell
DFT total energy: -6.53 eV per atom
Polymorph energy (0 for the lowest one): 0.036 eV per atom
ΔH_f (0 K): 5 kJ per mole of atoms

---

Material: PrDyAlZn
Method: DFT, PBE
State: relaxed

a b c (Å): 7.344 7.344 7.344
angles (deg): 90.00 90.00 90.00
Positions (direct):
Pr: 0.000 0.000 0.000
Pr: 0.000 0.500 0.500
Pr: 0.500 0.000 0.500
Pr: 0.500 0.500 0.000
Dy: 0.000 0.000 0.500
Dy: 0.000 0.500 0.000
Dy: 0.500 0.000 0.000
Dy: 0.500 0.500 0.500
Al: 0.250 0.250 0.250
Al: 0.250 0.750 0.750
Al: 0.750 0.250 0.750
Al: 0.750 0.750 0.250
Zn: 0.250 0.250 0.750
Zn: 0.250 0.750 0.250
Zn: 0.750 0.250 0.250
Zn: 0.750 0.750 0.750

## Properties
Symmetry: F-43m (216)
Magnetization: 0.0 μB/cell
DFT total energy: -3.94 eV per atom
Polymorph energy (0 for the lowest one): 0.013 eV per atom
ΔH_f (0 K): -32 kJ per mole of atoms

---

Material: ScGaCuCl
Method: DFT, PBE
State: relaxed

a b c (Å): 5.989 3.477 7.794
angles (deg): 90.00 104.97 90.00
Positions (direct):
Sc: 0.000 0.000 0.000
Sc: 0.500 0.500 0.000
Ga: 0.246 0.000 0.736
Ga: 0.746 0.500 0.736
Cu: 0.348 0.500 0.549
Cu: 0.848 0.000 0.549
Cl: 0.242 0.500 0.224
Cl: 0.742 0.000 0.224

## Properties
Symmetry: Cm (8)
Magnetization: 0.0 μB/cell
DFT total energy: -4.42 eV per atom
Polymorph energy (0 for the lowest one): 0.059 eV per atom
Raw formation energy: -0.5963 eV/atom

---

Material: GaNiP2Cl
Method: DFT, PBE
State: relaxed

a b c (Å): 4.169 4.169 8.272
angles (deg): 90.00 90.00 90.00
Positions (direct):
Ga: 0.000 0.000 0.000
Ni: 0.500 0.500 0.500
P: 0.000 0.500 0.500
P: 0.500 0.000 0.500
Cl: 0.500 0.500 0.000

## Properties
Symmetry: P4/mmm (123)
Magnetization: 0.0 μB/cell
DFT total energy: -4.11 eV per atom
Polymorph energy (0 for the lowest one): 0.000 eV per atom
Raw formation energy: 0.1827 eV/atom

---

Material: Fe4Pb3
Method: DFT, PBE
State: relaxed

a b c (Å): 6.219 6.219 4.493
angles (deg): 90.00 90.00 120.00
Positions (direct):
Fe: 0.000 0.000 0.249
Fe: 0.000 0.000 0.751
Fe: 0.333 0.667 0.000
Fe: 0.667 0.333 0.000
Pb: 0.000 0.500 0.500
Pb: 0.500 0.000 0.500
Pb: 0.500 0.500 0.500

## Properties
Symmetry: P6/mmm (191)
Magnetization: 11.7 μB/cell
DFT total energy: -5.39 eV per atom
ΔH_f (0 K): 100 kJ per mole of atoms

---

Material: Ac2DyIn12Ir3
Method: DFT, PBE
State: relaxed

a b c (Å): 8.659 8.659 8.659
angles (deg): 69.72 69.72 69.72
Positions (direct):
Ac: 0.090 0.090 0.090
Ac: 0.910 0.910 0.910
Dy: 0.500 0.500 0.500
In: 0.098 0.652 0.652
In: 0.215 0.215 0.609
In: 0.215 0.609 0.215
In: 0.348 0.348 0.902
In: 0.348 0.902 0.348
In: 0.391 0.785 0.785
In: 0.609 0.215 0.215
In: 0.652 0.098 0.652
In: 0.652 0.652 0.098
In: 0.785 0.391 0.785
In: 0.785 0.785 0.391
In: 0.902 0.348 0.348
Ir: 0.000 0.500 0.500
Ir: 0.500 0.000 0.500
Ir: 0.500 0.500 0.000

## Properties
Symmetry: R-3m (166)
Magnetization: 0.0 μB/cell
DFT total energy: -3.99 eV per atom
ΔH_f (0 K): 3 kJ per mole of atoms

---

Material: NpZn3I9
Method: DFT, PBE
State: relaxed

a b c (Å): 11.421 11.421 14.601
angles (deg): 124.44 124.44 53.53
Positions (direct):
Np: 0.232 0.768 0.500
Np: 0.768 0.232 0.000
Zn: 0.188 0.348 0.785
Zn: 0.348 0.188 0.285
Zn: 0.568 0.719 0.331
Zn: 0.719 0.568 0.831
Zn: 0.740 0.973 0.168
Zn: 0.973 0.740 0.668
I: 0.018 0.506 0.921
I: 0.062 0.911 0.673
I: 0.129 0.135 0.077
I: 0.135 0.129 0.577
I: 0.228 0.461 0.440
I: 0.230 0.541 0.771
I: 0.332 0.695 0.305
I: 0.461 0.228 0.940
I: 0.506 0.018 0.421
I: 0.541 0.230 0.271
I: 0.565 0.834 0.966
I: 0.590 0.602 0.624
I: 0.602 0.590 0.124
I: 0.695 0.332 0.805
I: 0.785 0.919 0.791
I: 0.834 0.565 0.466
I: 0.911 0.062 0.173
I: 0.919 0.785 0.291

## Properties
Symmetry: Cc (9)
Magnetization: 8.0 μB/cell
DFT total energy: -2.98 eV per atom
Raw formation energy: -0.6150 eV/atom

---

Material: Na4LaDy3S8
Method: DFT, PBE
State: relaxed

a b c (Å): 8.152 8.152 8.152
angles (deg): 59.54 59.54 59.54
Positions (direct):
Na: 0.000 0.000 0.000
Na: 0.000 0.500 0.500
Na: 0.500 0.000 0.500
Na: 0.500 0.500 0.000
La: 0.500 0.500 0.500
Dy: 0.000 0.000 0.500
Dy: 0.000 0.500 0.000
Dy: 0.500 0.000 0.000
S: 0.232 0.748 0.748
S: 0.242 0.242 0.242
S: 0.252 0.252 0.768
S: 0.252 0.768 0.252
S: 0.748 0.232 0.748
S: 0.748 0.748 0.232
S: 0.758 0.758 0.758
S: 0.768 0.252 0.252

## Properties
Symmetry: R-3m (166)
Magnetization: 0.0 μB/cell
DFT total energy: -5.41 eV per atom
Raw formation energy: -1.8440 eV/atom

---

Material: Ag2AuSe
Method: DFT, PBE
State: relaxed

a b c (Å): 3.634 3.634 5.769
angles (deg): 90.00 90.00 90.00
Positions (direct):
Ag: 0.000 0.000 0.000
Ag: 0.500 0.500 0.264
Au: 0.000 0.000 0.493
Se: 0.500 0.500 0.771

## Properties
Symmetry: P4mm (99)
Magnetization: 0.0 μB/cell
DFT total energy: -3.02 eV per atom
Raw formation energy: 0.0950 eV/atom

---

Material: Ca3Si3Ir2
Method: DFT, PBE
State: relaxed

a b c (Å): 7.995 14.092 5.856
angles (deg): 90.00 90.00 90.00
Positions (direct):
Ca: 0.046 0.114 0.123
Ca: 0.046 0.386 0.123
Ca: 0.194 0.250 0.618
Ca: 0.306 0.750 0.118
Ca: 0.454 0.614 0.623
Ca: 0.454 0.886 0.623
Ca: 0.546 0.114 0.377
Ca: 0.546 0.386 0.377
Ca: 0.694 0.250 0.882
Ca: 0.806 0.750 0.382
Ca: 0.954 0.614 0.877
Ca: 0.954 0.886 0.877
Si: 0.149 0.750 0.572
Si: 0.184 0.042 0.643
Si: 0.184 0.458 0.643
Si: 0.316 0.542 0.143
Si: 0.316 0.958 0.143
Si: 0.351 0.250 0.072
Si: 0.649 0.750 0.928
Si: 0.684 0.042 0.857
Si: 0.684 0.458 0.857
Si: 0.816 0.542 0.357
Si: 0.816 0.958 0.357
Si: 0.851 0.250 0.428
Ir: 0.103 0.587 0.398
Ir: 0.103 0.913 0.398
Ir: 0.397 0.087 0.898
Ir: 0.397 0.413 0.898
Ir: 0.603 0.587 0.102
Ir: 0.603 0.913 0.102
Ir: 0.897 0.087 0.602
Ir: 0.897 0.413 0.602

## Properties
Symmetry: Pnma (62)
Magnetization: 0.0 μB/cell
DFT total energy: -5.73 eV per atom
Polymorph energy (0 for the lowest one): 0.000 eV per atom
Raw formation energy: -0.7351 eV/atom

---

Material: Pa2TeH2S2
Method: DFT, PBE
State: relaxed

a b c (Å): 11.231 11.231 11.231
angles (deg): 20.25 20.25 20.25
Positions (direct):
Pa: 0.235 0.235 0.235
Pa: 0.765 0.765 0.765
Te: 0.500 0.500 0.500
H: 0.104 0.104 0.104
H: 0.896 0.896 0.896
S: 0.386 0.386 0.386
S: 0.614 0.614 0.614

## Properties
Symmetry: R-3m (166)
Magnetization: 2.0 μB/cell
DFT total energy: -6.35 eV per atom

---

Material: BPF2
Method: DFT, PBE
State: relaxed

a b c (Å): 5.690 5.690 5.690
angles (deg): 90.00 90.00 90.00
Positions (direct):
B: 0.000 0.000 0.000
B: 0.000 0.500 0.500
B: 0.500 0.000 0.500
B: 0.500 0.500 0.000
P: 0.000 0.000 0.500
P: 0.000 0.500 0.000
P: 0.500 0.000 0.000
P: 0.500 0.500 0.500
F: 0.250 0.250 0.250
F: 0.250 0.250 0.750
F: 0.250 0.750 0.250
F: 0.250 0.750 0.750
F: 0.750 0.250 0.250
F: 0.750 0.250 0.750
F: 0.750 0.750 0.250
F: 0.750 0.750 0.750

## Properties
Symmetry: Fm-3m (225)
Magnetization: 0.0 μB/cell
DFT total energy: -3.26 eV per atom
Polymorph energy (0 for the lowest one): 1.333 eV per atom
Raw formation energy: 0.6986 eV/atom

---

Material: Na2PmGaBr6
Method: DFT, PBE
State: relaxed

a b c (Å): 8.136 8.136 8.136
angles (deg): 55.36 55.36 55.36
Positions (direct):
Na: 0.000 0.000 0.000
Na: 0.491 0.491 0.491
Pm: 0.686 0.686 0.686
Ga: 0.196 0.196 0.196
Br: 0.074 0.420 0.779
Br: 0.292 0.884 0.611
Br: 0.420 0.779 0.074
Br: 0.611 0.292 0.884
Br: 0.779 0.074 0.420
Br: 0.884 0.611 0.292

## Properties
Symmetry: R3 (146)
Magnetization: 0.0 μB/cell
DFT total energy: -3.53 eV per atom
Raw formation energy: -1.4800 eV/atom

---

Material: La5Ir
Method: DFT, PBE
State: relaxed

a b c (Å): 6.109 6.109 5.474
angles (deg): 90.00 90.00 120.00
Positions (direct):
La: 0.000 0.707 0.000
La: 0.293 0.293 0.000
La: 0.333 0.667 0.500
La: 0.667 0.333 0.500
La: 0.707 0.000 0.000
Ir: 0.000 0.000 0.500

## Properties
Symmetry: P-62m (189)
Magnetization: 0.0 μB/cell
DFT total energy: -5.63 eV per atom
Polymorph energy (0 for the lowest one): 0.193 eV per atom
ΔH_f (0 K): -4 kJ per mole of atoms